No. 1
Ni2AsRhN, optimized geometry, DFT PBE; formation energy without anion corrections = 6.0 eV/f.u.; space-group type = P4/mmm (123); size of the total moment = 0.328 μB/atom
1.0
4.354 0.000 0.000
0.000 4.354 0.000
0.000 0.000 3.809
Ni As Rh N
2 1 1 1
direct
0.000 0.500 0.000
0.500 0.000 0.000
0.000 0.000 0.000
0.500 0.500 0.500
0.000 0.000 0.500

No. 2
SiSn, optimized geometry, DFT PBE; formation energy without anion corrections = 0.7 eV/f.u.; space-group type = P6_3/m (176); size of the total moment = 0.000 μB/atom
1.0
10.455 0.000 0.000
-5.227 9.054 0.000
0.000 0.000 4.367
Si Sn
6 6
direct
0.081 0.414 0.250
0.333 0.919 0.250
0.414 0.333 0.750
0.586 0.667 0.250
0.667 0.081 0.750
0.919 0.586 0.750
0.082 0.670 0.250
0.330 0.412 0.250
0.412 0.082 0.750
0.588 0.918 0.250
0.670 0.588 0.750
0.918 0.330 0.750